A plane-wave DFT calculation with PBE-GGA was carried out for Sm4In2F after structural relaxation.

Values from the calculation:
E_form (uncorrected) = -913 meV per atom
Symmetry = No. 139
Crystal system = tetragonal

abc: 4.752 4.752 9.354
angles: 75.28 75.28 90.00
Fractional coordinates of all 7 atoms:
Sm 0.000 0.500 0.000
Sm 0.183 0.183 0.634
Sm 0.500 0.000 0.000
Sm 0.817 0.817 0.366
In 0.366 0.366 0.267
In 0.634 0.634 0.733
F 0.000 0.000 0.000

***

A plane-wave DFT calculation with PBE-GGA was carried out for CdSiMo2 after structural relaxation.

Values from the calculation:
E_form (uncorrected) = 294 meV per atom
Excess energy over the best structure of this formula in the dataset = 0.161 eV/atom
Symmetry = No. 160
Crystal system = trigonal

abc: 9.034 9.034 9.034
angles: 19.14 19.14 19.14
Fractional coordinates of all 4 atoms:
Mo 0.990 0.990 0.990
Mo 0.250 0.250 0.250
Cd 0.750 0.750 0.750
Si 0.510 0.510 0.510

***

A plane-wave DFT calculation with PBE-GGA was carried out for FeTcRu2 after structural relaxation.

Values from the calculation:
Excess energy over the best structure of this formula in the dataset = 0.256 eV/atom
Symmetry = No. 35
ΔH_f (0 K) = 0.35 eV per atom
Crystal system = orthorhombic

abc: 2.643 2.643 8.860
angles: 90.00 90.00 115.25
Fractional coordinates of all 4 atoms:
Tc 0.000 0.000 0.506
Ru 0.500 0.500 0.252
Ru 0.000 0.000 0.992
Fe 0.500 0.500 0.751